(1)
First-principles (PBE) data for an optimized crystal structure of Nd8SnGe3Te4, as listed in Alexandria.

Output
- calculated volume (Å³ per cell) = 497.9
- N(E_F) (states/eV/cell) = 3.53
- E_form (uncorrected) (eV/atom) = -1.186
- energy (eV per atom) = -5.471

Cell lengths 8.845, 8.949, 8.846 Å; angles 119.62, 120.00, 90.00 degrees
Element x y z (fractional)
Nd (0.247, 0.730, 0.983)
Nd (0.247, 0.730, 0.495)
Nd (0.259, 0.277, 0.518)
Nd (0.735, 0.730, 0.983)
Nd (0.265, 0.270, 0.017)
Nd (0.741, 0.723, 0.482)
Nd (0.753, 0.270, 0.505)
Nd (0.753, 0.270, 0.017)
Sn (0.000, 0.500, 0.000)
Ge (0.500, 0.500, 0.000)
Ge (0.500, 0.500, 0.500)
Ge (0.000, 0.500, 0.500)
Te (0.500, 0.000, 0.000)
Te (0.500, 0.000, 0.500)
Te (0.000, 0.000, 0.000)
Te (0.000, 0.000, 0.500)

(2)
First-principles (PBE) data for an optimized crystal structure of Mn2SiAs, as listed in Alexandria.

Output
- calculated volume (Å³ per cell) = 52.4
- N(E_F) (states/eV/cell) = 2.44
- E_form (uncorrected) (eV/atom) = 0.021
- energy (eV per atom) = -7.082

Cell lengths 4.801, 4.801, 4.801 Å; angles 139.08, 132.92, 64.11 degrees
Last column: magnetic moment on the atom in μB.
Element x y z (fractional)
As (0.247, 0.747, 0.500)  -0.07
Mn (0.006, 0.006, 0.000)  2.36
Mn (0.737, 0.237, 0.500)  2.15
Si (0.510, 0.510, 0.000)  -0.08